First-principles (PBE) data for LaHo3In after structural relaxation, as listed in Alexandria via LeMat-Bulk.

Cell: 4.9259 4.8598 12.8865 Å, 90.00 78.98 90.00°
Last column: nearest neighbours and their distance in Å.
Positions (direct):
La (0.4704, 0.7500, 0.7076)  8 Ho 3.44-3.60, 4 In 3.47
La (0.1780, 0.2500, 0.2924)  8 Ho 3.44-3.60, 4 In 3.47
Ho (0.7730, 0.2500, 0.1024)  2 La 3.44, 8 Ho 3.46-3.55, 2 In 3.58
Ho (0.3697, 0.2500, 0.9089)  8 Ho 3.35-3.47, 2 La 3.52, 2 In 3.70
Ho (0.5752, 0.2500, 0.4979)  4 In 3.40-3.46, 4 Ho 3.46, 4 La 3.58-3.60
Ho (0.2786, 0.7500, 0.0911)  8 Ho 3.35-3.47, 2 La 3.52, 2 In 3.70
Ho (0.8754, 0.7500, 0.8976)  2 La 3.44, 8 Ho 3.46-3.55, 2 In 3.58
Ho (0.0732, 0.7500, 0.5021)  4 In 3.40-3.46, 4 Ho 3.46, 4 La 3.58-3.60
In (0.6693, 0.7500, 0.3098)  8 Ho 3.40-3.70, 4 La 3.47
In (0.9791, 0.2500, 0.6902)  8 Ho 3.40-3.70, 4 La 3.47

Computed properties:
Its space group is Cmcm, No. 63. The calculation puts the magnetization at 0.00 μB per formula unit. Its energy above the most stable polymorph in this dataset is 0 meV/atom. For the formation energy, the calculation gives -3.7 kcal/mol of atoms. As for the crystal system: orthorhombic.

First-principles (PBE) data for La2Ho6In after structural relaxation, as listed in Alexandria via LeMat-Bulk.

Cell: 5.5667 9.7668 10.3654 Å, 90.00 90.00 90.00°
Last column: nearest neighbours and their distance in Å.
Positions (direct):
La (0.0000, 0.3115, 0.7484)  10 Ho 3.29-3.68
La (0.5000, 0.8115, 0.7515)  10 Ho 3.29-3.68
La (0.5000, 0.1885, 0.2485)  10 Ho 3.29-3.68
La (0.0000, 0.6885, 0.2516)  10 Ho 3.29-3.68
Ho (0.0000, 0.0155, 0.1762)  3 La 3.29-3.34, 1 In 3.36, 4 Ho 3.44-3.67
Ho (0.0000, 0.6782, 0.5766)  1 In 3.24, 3 Ho 3.37-3.52, 3 La 3.37-3.57
Ho (0.0000, 0.6413, 0.8998)  2 In 3.28, 3 Ho 3.37-3.46, 3 La 3.58-3.59
Ho (0.5000, 0.1413, 0.6003)  2 In 3.28, 3 Ho 3.37-3.46, 3 La 3.58-3.59
Ho (0.5000, 0.1782, 0.9234)  1 In 3.24, 3 Ho 3.37-3.52, 3 La 3.37-3.57
Ho (0.5000, 0.5155, 0.3237)  3 La 3.29-3.34, 1 In 3.36, 4 Ho 3.44-3.67
Ho (0.0000, 0.9845, 0.8238)  3 La 3.29-3.34, 1 In 3.36, 4 Ho 3.44-3.67
Ho (0.0000, 0.3218, 0.4234)  1 In 3.24, 3 Ho 3.37-3.52, 3 La 3.37-3.57
Ho (0.0000, 0.3587, 0.1002)  2 In 3.28, 3 Ho 3.37-3.46, 3 La 3.58-3.59
Ho (0.5000, 0.8587, 0.3997)  2 In 3.28, 3 Ho 3.37-3.46, 3 La 3.58-3.59
Ho (0.5000, 0.8218, 0.0766)  1 In 3.24, 3 Ho 3.37-3.52, 3 La 3.37-3.57
Ho (0.5000, 0.4845, 0.6763)  3 La 3.29-3.34, 1 In 3.36, 4 Ho 3.44-3.67
In (0.5000, 0.5000, 0.0000)  8 Ho 3.24-3.36
In (0.0000, 0.0000, 0.5000)  8 Ho 3.24-3.36

Computed properties:
Its space group is Pnnm, No. 58. The calculation puts the magnetization at 0.00 μB per formula unit. For the formation energy, the calculation gives -0.4 kcal/mol of atoms. As for the crystal system: orthorhombic.

First-principles (PBE) data for La3Ho2In3 after structural relaxation, as listed in Alexandria via LeMat-Bulk.

Cell: 3.8878 5.5755 11.9833 Å, 103.45 99.34 90.00°
Last column: nearest neighbours and their distance in Å.
Positions (direct):
La (0.3765, 0.3765, 0.7531)  6 In 3.40-3.44, 4 Ho 3.78-3.79
La (0.6235, 0.6235, 0.2469)  6 In 3.40-3.44, 4 Ho 3.78-3.79
La (0.5000, 0.0000, 0.0000)  8 In 3.40-3.47
Ho (0.2647, 0.7647, 0.5295)  2 In 3.19, 4 Ho 3.47
Ho (0.7353, 0.2353, 0.4705)  2 In 3.19, 4 Ho 3.47
In (0.8749, 0.8749, 0.7499)  2 Ho 3.19, 6 La 3.40-3.47
In (0.0000, 0.5000, 0.0000)  8 La 3.40-3.44
In (0.1251, 0.1251, 0.2501)  2 Ho 3.19, 6 La 3.40-3.47

Computed properties:
Its space group is Immm, No. 71. The calculation puts the magnetization at 0.00 μB per formula unit. Its energy above the most stable polymorph in this dataset is 0 meV/atom. For the formation energy, the calculation gives -8.5 kcal/mol of atoms. As for the crystal system: orthorhombic.

What is the formula in the third record? La3Ho2In3